No. 1
The following is a DFT calculation (PBE-GGA) of crystalline Pm4PuSe5 at its relaxed geometry.

## Properties
- D(E_F) (states/eV/cell) = 10.6
- energy above the lowest structure with this stoichiometry (kcal/mol of atoms) = 0.00
- size of the total moment (μB/cell) = 5.69
- raw formation energy (eV/atom) = -1.79
- total energy (eV for the cell shown) = -68.6

a b c (Å): 5.918 7.249 7.249
angles (deg): 80.41 65.91 65.91
Fractional positions:
Se 0.704 0.197 0.396
Se 0.100 0.604 0.197
Se 0.501 0.000 0.000
Se 0.298 0.803 0.604
Se 0.902 0.396 0.803
Pm 0.598 0.604 0.203
Pm 0.801 0.797 0.604
Pm 0.404 0.396 0.797
Pm 0.201 0.203 0.396
Pu 0.001 0.000 0.000

---

No. 2
The following is a DFT calculation (PBE-GGA) of crystalline NbRhPb2 at its relaxed geometry.

## Properties
- D(E_F) (states/eV/cell) = 2.9
- energy above the lowest structure with this stoichiometry (kcal/mol of atoms) = 0.00
- size of the total moment (μB/cell) = 1.65
- ΔE_f (eV per formula unit) = 1.43
- total energy (eV for the cell shown) = -23.4

a b c (Å): 4.884 4.884 4.884
angles (deg): 60.00 60.00 60.00
Fractional positions:
Nb 0.000 0.000 0.000
Pb 0.250 0.250 0.250
Pb 0.750 0.750 0.750
Rh 0.500 0.500 0.500

---

No. 3
The following is a DFT calculation (PBE-GGA) of crystalline ThGe2Pb at its relaxed geometry.

## Properties
- D(E_F) (states/eV/cell) = 3.0
- size of the total moment (μB/cell) = 0.00
- ΔE_f (eV per formula unit) = 1.24
- total energy (eV for the cell shown) = -19.1

a b c (Å): 4.710 4.710 8.219
angles (deg): 73.35 73.35 60.00
Fractional positions:
Ge 0.886 0.886 0.341
Ge 0.114 0.114 0.659
Pb 0.000 0.000 0.000
Th 0.500 0.500 0.500

---

No. 4
The following is a DFT calculation (PBE-GGA) of crystalline Ce6SiSb2Te3 at its relaxed geometry.

## Properties
- D(E_F) (states/eV/cell) = 41.3
- size of the total moment (μB/cell) = 5.85
- raw formation energy (eV/atom) = -1.14
- total energy (eV for the cell shown) = -72.4

a b c (Å): 4.435 8.964 9.957
angles (deg): 102.82 102.87 90.00
Fractional positions:
Ce 0.999 0.228 0.998
Ce 0.001 0.772 0.002
Ce 0.667 0.582 0.335
Ce 0.657 0.081 0.314
Ce 0.343 0.919 0.686
Ce 0.333 0.418 0.665
Te 0.500 0.500 0.000
Te 0.830 0.164 0.659
Te 0.170 0.836 0.341
Si 0.500 0.000 0.000
Sb 0.166 0.334 0.331
Sb 0.834 0.666 0.669

---

No. 5
The following is a DFT calculation (PBE-GGA) of crystalline Pm7Dy6Er16 at its relaxed geometry.

## Properties
- D(E_F) (states/eV/cell) = 50.2
- size of the total moment (μB/cell) = 0.00
- ΔE_f (eV per formula unit) = 5.46
- total energy (eV for the cell shown) = -128.4

a b c (Å): 10.997 10.997 10.997
angles (deg): 60.00 60.00 60.00
Fractional positions:
Dy 0.224 0.776 0.776
Dy 0.224 0.776 0.224
Dy 0.776 0.776 0.224
Dy 0.224 0.224 0.776
Dy 0.776 0.224 0.224
Dy 0.776 0.224 0.776
Er 0.149 0.149 0.552
Er 0.387 0.840 0.387
Er 0.552 0.149 0.149
Er 0.149 0.149 0.149
Er 0.387 0.387 0.387
Er 0.840 0.387 0.387
Er 0.851 0.448 0.851
Er 0.851 0.851 0.851
Er 0.160 0.613 0.613
Er 0.387 0.387 0.840
Er 0.448 0.851 0.851
Er 0.613 0.160 0.613
Er 0.149 0.552 0.149
Er 0.851 0.851 0.448
Er 0.613 0.613 0.160
Er 0.613 0.613 0.613
Pm 0.500 0.000 0.500
Pm 0.000 0.500 0.000
Pm 0.000 0.000 0.000
Pm 0.000 0.000 0.500
Pm 0.500 0.000 0.000
Pm 0.500 0.500 0.000
Pm 0.000 0.500 0.500

---

No. 6
The following is a DFT calculation (PBE-GGA) of crystalline TiNb2Hg2S6 at its relaxed geometry.

## Properties
- D(E_F) (states/eV/cell) = 5.6
- size of the total moment (μB/cell) = 0.00
- raw formation energy (eV/atom) = -0.88
- total energy (eV for the cell shown) = -63.1

a b c (Å): 5.852 5.852 9.341
angles (deg): 96.49 96.49 119.98
Fractional positions:
S 0.388 0.060 0.667
S 0.267 0.267 0.333
S 0.940 0.612 0.333
S 0.612 0.940 0.333
S 0.733 0.733 0.667
S 0.060 0.388 0.667
Hg 0.831 0.169 0.000
Hg 0.169 0.831 0.000
Ti 0.000 0.000 0.500
Nb 0.667 0.333 0.500
Nb 0.333 0.667 0.500

---

No. 7
The following is a DFT calculation (PBE-GGA) of crystalline Rb3Pr3TcO8 at its relaxed geometry.

## Properties
- size of the total moment (μB/cell) = 3.00
- raw formation energy (eV/atom) = -2.27
- total energy (eV for the cell shown) = -101.4

a b c (Å): 7.124 7.124 7.802
angles (deg): 117.18 90.00 120.00
Fractional positions:
O 0.727 0.455 0.682
O 0.797 0.595 0.334
O 0.240 0.037 0.334
O 0.203 0.405 0.666
O 0.203 0.963 0.666
O 0.760 0.963 0.666
O 0.797 0.037 0.334
O 0.273 0.545 0.318
Pr 0.000 0.500 0.500
Pr 0.500 0.000 0.500
Pr 0.500 0.500 0.500
Rb 0.000 0.000 0.000
Rb 0.500 0.500 0.000
Rb 0.000 0.500 0.000
Tc 0.000 0.000 0.500

---

No. 8
The following is a DFT calculation (PBE-GGA) of crystalline MnSi2SnAu at its relaxed geometry.

## Properties
- D(E_F) (states/eV/cell) = 0.7
- size of the total moment (μB/cell) = 0.00
- raw formation energy (eV/atom) = 0.18
- total energy (eV for the cell shown) = -26.4

a b c (Å): 4.375 5.028 4.375
angles (deg): 90.00 90.00 90.00
Fractional positions:
Sn 0.000 0.500 0.000
Si 0.000 0.000 0.500
Si 0.500 0.000 0.000
Au 0.500 0.500 0.500
Mn 0.000 0.000 0.000